Density functional theory data (PBE) for Y2SI2 after structural relaxation.

N(E_F)   1.262 states/eV/cell
Crystal system   monoclinic
Total DFT energy (no corrections)   -5.66 eV per atom

The structure in CIF format:
```
data_Y2SI2
_space_group_name_H-M_alt 'C 1 2/m 1'
_space_group_IT_number 12
_cell_length_a 7.0866
_cell_length_b 4.0927
_cell_length_c 11.9029
_cell_angle_alpha 90.00
_cell_angle_beta 102.83
_cell_angle_gamma 90.00
loop_
_space_group_symop_operation_xyz
'x,y,z'
'-x,-y,-z'
'-x,y,-z'
'x,-y,z'
'x+1/2,y+1/2,z'
'-x+1/2,-y+1/2,-z'
'-x+1/2,y+1/2,-z'
'x+1/2,-y+1/2,z'
loop_
_atom_site_label
_atom_site_type_symbol
_atom_site_fract_x
_atom_site_fract_y
_atom_site_fract_z
Y1 Y 0.2116 0.0000 0.1206
S1 S 0.0000 0.5000 0.0000
I1 I 0.0556 0.0000 0.7021
```

Density functional theory data (PBE) for Y2SI after structural relaxation.

N(E_F)   8.340 states/eV/cell
Excess energy over the best structure of this formula in the dataset   9.4 meV per atom
Crystal system   trigonal

The structure in CIF format:
```
data_Y2SI
_space_group_name_H-M_alt 'R -3 m'
_space_group_IT_number 166
_space_group_name_Hall '-R 3 2"'
_cell_length_a 3.9319
_cell_length_b 3.9319
_cell_length_c 23.2720
_cell_angle_alpha 90.00
_cell_angle_beta 90.00
_cell_angle_gamma 120.00
loop_
_atom_site_label
_atom_site_type_symbol
_atom_site_fract_x
_atom_site_fract_y
_atom_site_fract_z
Y1 Y 0.0000 0.0000 0.2289
S1 S 0.0000 0.0000 0.5000
I1 I 0.0000 0.0000 0.0000
```

Density functional theory data (PBE) for Y3SI7 after structural relaxation.

N(E_F)   0.000 states/eV/cell
Crystal system   trigonal
Total DFT energy (no corrections)   -4.62 eV per atom

The structure in CIF format:
```
data_Y3SI7
_space_group_name_H-M_alt 'P 3 m 1'
_space_group_IT_number 156
_cell_length_a 8.6333
_cell_length_b 8.6333
_cell_length_c 7.7059
_cell_angle_alpha 90.00
_cell_angle_beta 90.00
_cell_angle_gamma 120.00
loop_
_space_group_symop_operation_xyz
'x,y,z'
'-y,x-y,z'
'-x+y,-x,z'
'-y,-x,z'
'-x+y,y,z'
'x,x-y,z'
loop_
_atom_site_label
_atom_site_type_symbol
_atom_site_fract_x
_atom_site_fract_y
_atom_site_fract_z
Y1 Y 0.1767 0.3535 0.0000
S1 S 0.3333 0.6667 0.1607
I1 I 0.0000 0.0000 0.7642
I2 I 0.0009 0.5004 0.7589
I3 I 0.3286 0.1643 0.2186
```

Density functional theory data (PBE) for Y3SI3 after structural relaxation.

N(E_F)   14.718 states/eV/cell
Crystal system   trigonal
Total DFT energy (no corrections)   -5.43 eV per atom

The structure in CIF format:
```
data_Y3SI3
_space_group_name_H-M_alt 'R -3'
_space_group_IT_number 148
_space_group_name_Hall '-R 3'
_cell_length_a 7.0287
_cell_length_b 7.0287
_cell_length_c 33.5216
_cell_angle_alpha 90.00
_cell_angle_beta 90.00
_cell_angle_gamma 120.00
loop_
_atom_site_label
_atom_site_type_symbol
_atom_site_fract_x
_atom_site_fract_y
_atom_site_fract_z
Y1 Y 0.0000 0.3399 0.0426
S1 S 0.0000 0.0000 0.3333
I1 I 0.0000 0.3322 0.8961
```

Density functional theory data (PBE) for YSI3 after structural relaxation.

N(E_F)   5.919 states/eV/cell
Excess energy over the best structure of this formula in the dataset   0.0 meV per atom
Crystal system   cubic

The structure in CIF format:
```
data_YSI3
_space_group_name_H-M_alt 'P m -3 m'
_space_group_IT_number 221
_space_group_name_Hall '-P 4 2 3'
_cell_length_a 6.0175
_cell_length_b 6.0175
_cell_length_c 6.0175
_cell_angle_alpha 90.00
_cell_angle_beta 90.00
_cell_angle_gamma 90.00
loop_
_atom_site_label
_atom_site_type_symbol
_atom_site_fract_x
_atom_site_fract_y
_atom_site_fract_z
Y1 Y 0.0000 0.0000 0.0000
S1 S 0.5000 0.5000 0.5000
I1 I 0.0000 0.0000 0.5000
```

Density functional theory data (PBE) for Y2SI after structural relaxation.

N(E_F)   9.033 states/eV/cell
Excess energy over the best structure of this formula in the dataset   0.0 meV per atom
Crystal system   trigonal

The structure in CIF format:
```
data_Y2SI
_space_group_name_H-M_alt 'R 3 m'
_space_group_IT_number 160
_space_group_name_Hall 'R 3 -2"'
_cell_length_a 3.9131
_cell_length_b 3.9131
_cell_length_c 23.2069
_cell_angle_alpha 90.00
_cell_angle_beta 90.00
_cell_angle_gamma 120.00
loop_
_atom_site_label
_atom_site_type_symbol
_atom_site_fract_x
_atom_site_fract_y
_atom_site_fract_z
Y1 Y 0.0000 0.0000 0.0000
Y2 Y 0.0000 0.0000 0.2038
S1 S 0.0000 0.0000 0.6016
I1 I 0.0000 0.0000 0.4334
```

Density functional theory data (PBE) for YSI3 after structural relaxation.

N(E_F)   5.440 states/eV/cell
Excess energy over the best structure of this formula in the dataset   557.9 meV per atom
Crystal system   cubic

The structure in CIF format:
```
data_YSI3
_space_group_name_H-M_alt 'P m -3 m'
_space_group_IT_number 221
_space_group_name_Hall '-P 4 2 3'
_cell_length_a 5.5545
_cell_length_b 5.5545
_cell_length_c 5.5545
_cell_angle_alpha 90.00
_cell_angle_beta 90.00
_cell_angle_gamma 90.00
loop_
_atom_site_label
_atom_site_type_symbol
_atom_site_fract_x
_atom_site_fract_y
_atom_site_fract_z
Y1 Y 0.0000 0.0000 0.0000
S1 S 0.5000 0.5000 0.5000
I1 I 0.0000 0.5000 0.5000
```

Density functional theory data (PBE) for ZnS2I after structural relaxation.

N(E_F)   6.209 states/eV/cell
Excess energy over the best structure of this formula in the dataset   0.0 meV per atom
Crystal system   trigonal

The structure in CIF format:
```
data_ZnS2I
_space_group_name_H-M_alt 'R -3 m'
_space_group_IT_number 166
_space_group_name_Hall '-R 3 2"'
_cell_length_a 3.7744
_cell_length_b 3.7744
_cell_length_c 23.1823
_cell_angle_alpha 90.00
_cell_angle_beta 90.00
_cell_angle_gamma 120.00
loop_
_atom_site_label
_atom_site_type_symbol
_atom_site_fract_x
_atom_site_fract_y
_atom_site_fract_z
Zn1 Zn 0.0000 0.0000 0.0000
S1 S 0.0000 0.0000 0.3886
I1 I 0.0000 0.0000 0.5000
```